Computed, not measured: a PBEsol-optimized structure of Al2FePt at the SCAN level of DFT.

a = 5.4305 Å, b = 5.4305 Å, c = 5.4305 Å
α = 104.12°, β = 104.12°, γ = 120.80°
Element x y z (fractional)
Al  0.1245  0.1250  0.4995
Al  0.3750  0.8755  0.0005
Al  0.6255  0.6250  0.5005
Al  0.8750  0.3745  0.9995
Fe  0.2500  0.7500  0.5000
Fe  0.5000  0.5000  0.0000
Pt  0.0000  0.0000  0.0000
Pt  0.7500  0.2500  0.5000

Output
volume	119.6	Å³ per cell
symmetry	I-42d, No. 122
formation energy	-0.22	eV/atom
VASP energy	-1.924	Ry per atom

=====

Computed, not measured: a PBEsol-optimized structure of AlFe2Pt at the SCAN level of DFT.

a = 4.5866 Å, b = 4.5866 Å, c = 4.4136 Å
α = 108.16°, β = 108.16°, γ = 35.59°
Element x y z (fractional)
Al  0.0000  0.0000  0.0000
Fe  0.2506  0.2506  0.6851
Fe  0.5194  0.5194  0.5310
Pt  0.7541  0.7541  0.1919

Output
volume	51.1	Å³ per cell
symmetry	Cm, No. 8
formation energy	-0.45	eV/atom
VASP energy	-2.132	Ry per atom

=====

Computed, not measured: a PBEsol-optimized structure of Al2FeRuPt at the SCAN level of DFT.

a = 4.4865 Å, b = 4.4865 Å, c = 4.4902 Å
α = 90.00°, β = 90.00°, γ = 90.00°
Element x y z (fractional)
Al  0.0000  0.5000  0.0000
Al  0.5000  0.0000  0.0000
Fe  0.0000  0.0000  0.5000
Ru  0.0000  0.0000  0.0000
Pt  0.5000  0.5000  0.5000

Output
volume	90.4	Å³ per cell
symmetry	P4/mmm, No. 123
formation energy	0.54	eV/atom
VASP energy	-1.999	Ry per atom

=====

Computed, not measured: a PBEsol-optimized structure of TiAlFePt2 at the SCAN level of DFT.

a = 4.6534 Å, b = 4.6534 Å, c = 3.9898 Å
α = 90.00°, β = 90.00°, γ = 90.00°
Element x y z (fractional)
Ti  0.0000  0.0000  0.0000
Al  0.5000  0.5000  0.0000
Fe  0.0000  0.0000  0.5000
Pt  0.0000  0.5000  0.5000
Pt  0.5000  0.0000  0.5000

Output
volume	86.4	Å³ per cell
symmetry	P4/mmm, No. 123
formation energy	0.30	eV/atom
VASP energy	-2.657	Ry per atom

=====

Computed, not measured: a PBEsol-optimized structure of Rb2AlFe at the SCAN level of DFT.

a = 9.4163 Å, b = 9.4163 Å, c = 9.4163 Å
α = 93.53°, β = 93.53°, γ = 151.26°
Element x y z (fractional)
Rb  0.3750  0.1802  0.3052
Rb  0.8198  0.1250  0.1948
Rb  0.8750  0.0698  0.6948
Rb  0.9302  0.6250  0.8052
Al  0.2500  0.7500  0.5000
Al  0.5000  0.5000  0.0000
Fe  0.0000  0.0000  0.0000
Fe  0.7500  0.2500  0.5000

Output
volume	388.8	Å³ per cell
symmetry	I-42d, No. 122
formation energy	0.67	eV/atom
VASP energy	-1.189	Ry per atom

=====

Computed, not measured: a PBEsol-optimized structure of AlFe2Re at the SCAN level of DFT.

a = 2.7450 Å, b = 2.7450 Å, c = 6.2360 Å
α = 90.00°, β = 90.00°, γ = 90.00°
Element x y z (fractional)
Al  0.0000  0.0000  0.0000
Fe  0.5000  0.5000  0.2400
Fe  0.5000  0.5000  0.7600
Re  0.0000  0.0000  0.5000

Output
volume	47.0	Å³ per cell
symmetry	P4/mmm, No. 123
formation energy	-0.10	eV/atom
VASP energy	-2.122	Ry per atom

=====

Computed, not measured: a PBEsol-optimized structure of AlFe2Re at the SCAN level of DFT.

a = 4.5598 Å, b = 4.5598 Å, c = 4.2406 Å
α = 105.51°, β = 105.51°, γ = 35.03°
Element x y z (fractional)
Al  0.0000  0.0000  0.0000
Fe  0.4900  0.4900  0.4920
Fe  0.7481  0.7481  0.1734
Re  0.2334  0.2334  0.6598

Output
volume	48.6	Å³ per cell
symmetry	Cm, No. 8
formation energy	-0.05	eV/atom
VASP energy	-2.119	Ry per atom

=====

Computed, not measured: a PBEsol-optimized structure of AlFeRe at the SCAN level of DFT.

a = 5.2606 Å, b = 5.2606 Å, c = 5.2606 Å
α = 149.43°, β = 149.43°, γ = 43.78°
Element x y z (fractional)
Al  0.0000  0.0000  0.0000
Fe  0.6536  0.6536  0.0000
Re  0.3122  0.3122  0.0000

Output
volume	37.6	Å³ per cell
symmetry	I4mm, No. 107
formation energy	-0.19	eV/atom
VASP energy	-2.390	Ry per atom

=====

Computed, not measured: a PBEsol-optimized structure of AlFeRe2 at the SCAN level of DFT.

a = 2.8542 Å, b = 2.8542 Å, c = 6.4172 Å
α = 90.00°, β = 90.00°, γ = 90.00°
Element x y z (fractional)
Al  0.0000  0.0000  0.0000
Fe  0.5000  0.5000  0.2183
Re  0.0000  0.0000  0.4616
Re  0.5000  0.5000  0.7329

Output
volume	52.3	Å³ per cell
symmetry	P4mm, No. 99
formation energy	-0.10	eV/atom
VASP energy	-3.096	Ry per atom

=====

Computed, not measured: a PBEsol-optimized structure of AlFe2Re at the SCAN level of DFT.

a = 4.1408 Å, b = 4.1408 Å, c = 2.7962 Å
α = 90.00°, β = 90.00°, γ = 90.00°
Element x y z (fractional)
Al  0.0000  0.0000  0.0000
Fe  0.0000  0.5000  0.5000
Fe  0.5000  0.0000  0.5000
Re  0.5000  0.5000  0.0000

Output
volume	47.9	Å³ per cell
symmetry	P4/mmm, No. 123
formation energy	-0.10	eV/atom
VASP energy	-2.122	Ry per atom

=====

Computed, not measured: a PBEsol-optimized structure of AlFeRe2 at the SCAN level of DFT.

a = 2.6475 Å, b = 2.6475 Å, c = 8.3441 Å
α = 90.00°, β = 90.00°, γ = 110.76°
Element x y z (fractional)
Al  0.0000  0.0000  0.0000
Fe  0.5000  0.5000  0.2321
Re  0.0000  0.0000  0.4745
Re  0.5000  0.5000  0.7381

Output
volume	54.7	Å³ per cell
symmetry	Cmm2, No. 35
formation energy	0.00	eV/atom
VASP energy	-3.088	Ry per atom

=====

Computed, not measured: a PBEsol-optimized structure of AlFe2Re at the SCAN level of DFT.

a = 2.6437 Å, b = 3.5979 Å, c = 5.2056 Å
α = 90.00°, β = 90.00°, γ = 90.00°
Element x y z (fractional)
Al  0.0000  0.0000  0.0000
Fe  0.0000  0.0000  0.4847
Fe  0.5000  0.5000  0.2274
Re  0.5000  0.5000  0.7072

Output
volume	49.5	Å³ per cell
symmetry	Pmm2, No. 25
formation energy	-0.06	eV/atom
VASP energy	-2.119	Ry per atom